Entry from the Alexandria database: a relaxed structure of BaBi2I2O2 (GGA-PBE).

```
BaBi2I2O2
1.0
-2.419 2.419 9.084
2.419 -2.419 9.084
2.419 2.419 -9.084
Ba O Bi I
1 2 2 2
Cartesian
0.000 0.000 10.611
2.419 0.000 8.249
0.000 2.419 8.249
0.000 0.000 7.277
0.000 0.000 17.252
0.000 0.000 14.217
0.000 0.000 2.525
```

Values from the calculation:
Polymorph energy (0 for the lowest one): 0 meV per atom
Fermi-level density of states: 2.0 states/eV/f.u.
Crystal system: tetragonal
E_form (uncorrected): -0.949 eV per atom
Total magnetization: 0.00 μB per atom
Theoretical density: 6.6 Mg/m³